First-principles (PBEsol) data for an optimized crystal structure of Tl2TeW, as listed in Alexandria via LeMat-Bulk.

Cell and atoms, written as CIF:
```
data_Tl2TeW
_chemical_formula_sum 'Tl4 Te2 W2'
_symmetry_space_group_name_H-M 'C m m m'
_symmetry_Int_Tables_number 65
_symmetry_space_group_name_Hall '-C 2 2'
_cell_length_a 6.442
_cell_length_b 9.149
_cell_length_c 3.033
_cell_angle_alpha 90.00
_cell_angle_beta 90.00
_cell_angle_gamma 90.00
loop_
_atom_site_label
_atom_site_type_symbol
_atom_site_fract_x
_atom_site_fract_y
_atom_site_fract_z
Tl1 Tl 0.250 0.250 0.000
Te1 Te 0.000 0.000 0.500
W1 W 0.000 0.500 0.500
```

Values from the calculation:
E_form (uncorrected) in eV/atom: 0.912
Calculated volume in A^3/atom: 22.35

First-principles (PBEsol) data for an optimized crystal structure of TlTeW, as listed in Alexandria via LeMat-Bulk.

Cell and atoms, written as CIF:
```
data_TlTeW
_chemical_formula_sum 'Tl1 Te1 W1'
_symmetry_space_group_name_H-M 'P 3 m 1'
_symmetry_Int_Tables_number 156
_cell_length_a 3.3319
_cell_length_b 3.3319
_cell_length_c 6.9212
_cell_angle_alpha 90.00
_cell_angle_beta 90.00
_cell_angle_gamma 120.00
loop_
_symmetry_equiv_pos_as_xyz
'x,y,z'
'-y,x-y,z'
'-x+y,-x,z'
'-y,-x,z'
'-x+y,y,z'
'x,x-y,z'
loop_
_atom_site_label
_atom_site_type_symbol
_atom_site_fract_x
_atom_site_fract_y
_atom_site_fract_z
Tl1 Tl 0.0000 0.0000 0.0000
Te1 Te 0.3333 0.6667 0.4092
W1 W 0.6667 0.3333 0.6757
```

Values from the calculation:
Polymorph energy (0 for the lowest one) in meV per atom: 0.0
E_form (uncorrected) in eV/atom: 0.516
Calculated volume in A^3/atom: 22.18

First-principles (PBEsol) data for an optimized crystal structure of Y2TlTe, as listed in Alexandria via LeMat-Bulk.

Cell and atoms, written as CIF:
```
data_Y2TlTe
_chemical_formula_sum 'Y2 Tl1 Te1'
_symmetry_space_group_name_H-M 'P 4/m m m'
_symmetry_Int_Tables_number 123
_symmetry_space_group_name_Hall '-P 4 2'
_cell_length_a 4.317
_cell_length_b 4.317
_cell_length_c 6.116
_cell_angle_alpha 90.00
_cell_angle_beta 90.00
_cell_angle_gamma 90.00
loop_
_atom_site_label
_atom_site_type_symbol
_atom_site_fract_x
_atom_site_fract_y
_atom_site_fract_z
Y1 Y 0.000 0.000 0.000
Y2 Y 0.500 0.500 0.500
Tl1 Tl 0.000 0.000 0.500
Te1 Te 0.500 0.500 0.000
```

Values from the calculation:
Polymorph energy (0 for the lowest one) in meV per atom: 33.0
E_form (uncorrected) in eV/atom: -0.867
Calculated volume in A^3/atom: 28.50

| no. | E_tot (eV per formula unit) |
| --- | --- |
| 1 | -18.9 |
| 2 | -18.4 |
| 3 | -23.3 |